Entry 1:
{"formula": "CaBe4Os", "functional": "GGA-PBE", "state": "relaxed", "e_tot_ev_per_cell": -27.11, "magmom_total_mub_per_fu": 0.63, "lattice_angstrom": [[0.000, 3.287, 3.287], [3.287, 0.000, 3.287], [3.287, 3.287, 0.000]], "species": ["Be", "Be", "Be", "Be", "Os", "Ca"], "frac_coords": [[0.372, 0.372, 0.885], [0.372, 0.885, 0.372], [0.885, 0.372, 0.372], [0.372, 0.372, 0.372], [0.000, 0.000, 0.000], [0.750, 0.750, 0.750]]}

=====

Entry 2:
{"formula": "LiAc2Rh2O6", "functional": "GGA-PBE", "state": "relaxed", "e_tot_ev_per_cell": -72.22, "magmom_total_mub_per_fu": 0.46, "raw_formation_energy_kj_per_mol_fu": -1701, "lattice_angstrom": [[5.911, 0.000, 0.000], [2.956, 5.119, 0.000], [2.956, 1.706, 5.420]], "species": ["O", "O", "O", "O", "O", "O", "Rh", "Rh", "Li", "Ac", "Ac"], "frac_coords": [[0.241, 0.794, 0.725], [0.759, 0.206, 0.275], [0.759, 0.759, 0.275], [0.241, 0.241, 0.725], [0.206, 0.759, 0.275], [0.794, 0.241, 0.725], [0.590, 0.590, 0.230], [0.410, 0.410, 0.770], [0.000, 0.000, 0.000], [0.782, 0.782, 0.654], [0.218, 0.218, 0.346]]}

=====

Entry 3:
{"formula": "ReMoPt2", "functional": "GGA-PBE", "state": "relaxed", "e_tot_ev_per_cell": -35.97, "magmom_total_mub_per_fu": 0.00, "de_polymorph_mev_per_atom": 2, "lattice_angstrom": [[-0.042, 0.826, 4.767], [-0.303, -1.859, 4.457], [4.815, -0.566, 0.852]], "species": ["Pt", "Pt", "Mo", "Re"], "frac_coords": [[0.005, 0.005, 0.993], [0.244, 0.244, 0.260], [0.751, 0.751, 0.753], [0.500, 0.500, 0.493]]}

=====

Number 1: Fermi-level density of states 6.4 states/eV/f.u.. Number 2: Fermi-level density of states 6.4 states/eV/f.u.. Number 3: Fermi-level density of states 3.1 states/eV/f.u..